Material: NaHoMgS3
Method: DFT, PBE
State: relaxed

abc: 7.890 4.026 10.458
angles: 90.00 107.01 90.00
Atoms (fractional coordinates):
Ho  0.830  0.750  0.358
Ho  0.170  0.250  0.642
Mg  0.558  0.250  0.113
Mg  0.442  0.750  0.887
Na  0.321  0.750  0.358
Na  0.679  0.250  0.642
S  0.714  0.750  0.077
S  0.583  0.250  0.350
S  0.066  0.250  0.370
S  0.934  0.750  0.630
S  0.417  0.750  0.650
S  0.286  0.250  0.923

Computed properties:
excess energy over the best structure of this formula in the dataset = 6 meV per atom

=====

Material: NaHoMgS3
Method: DFT, PBE
State: relaxed

abc: 14.139 3.987 11.063
angles: 90.00 90.00 90.00
Atoms (fractional coordinates):
Ho  0.038  0.250  0.144
Ho  0.538  0.250  0.356
Ho  0.462  0.750  0.644
Ho  0.962  0.750  0.856
Mg  0.539  0.750  0.097
Mg  0.039  0.750  0.403
Mg  0.961  0.250  0.597
Mg  0.461  0.250  0.903
Na  0.789  0.250  0.205
Na  0.289  0.250  0.295
Na  0.711  0.750  0.705
Na  0.211  0.750  0.795
S  0.912  0.750  0.088
S  0.441  0.250  0.125
S  0.150  0.750  0.237
S  0.650  0.750  0.263
S  0.941  0.250  0.375
S  0.412  0.750  0.412
S  0.588  0.250  0.588
S  0.059  0.750  0.625
S  0.350  0.250  0.737
S  0.850  0.250  0.763
S  0.559  0.750  0.875
S  0.088  0.250  0.912

Computed properties:
excess energy over the best structure of this formula in the dataset = 0 meV per atom

=====

Material: NaHoMgS3
Method: DFT, PBE
State: relaxed

abc: 6.890 6.890 10.800
angles: 90.00 90.00 146.36
Atoms (fractional coordinates):
Ho  0.000  0.000  0.000
Ho  0.000  0.000  0.500
Mg  0.531  0.469  0.250
Mg  0.469  0.531  0.750
Na  0.254  0.746  0.250
Na  0.746  0.254  0.750
S  0.630  0.370  0.067
S  0.923  0.077  0.250
S  0.630  0.370  0.433
S  0.370  0.630  0.567
S  0.077  0.923  0.750
S  0.370  0.630  0.933

Computed properties:
excess energy over the best structure of this formula in the dataset = 48 meV per atom

=====

Material: HoMgNb
Method: DFT, PBE
State: relaxed

abc: 4.789 4.789 4.789
angles: 60.00 60.00 60.00
Atoms (fractional coordinates):
Ho  0.250  0.250  0.250
Mg  0.000  0.000  0.000
Nb  0.750  0.750  0.750

Computed properties:
excess energy over the best structure of this formula in the dataset = 0 meV per atom

=====

Material: HoMgNb
Method: DFT, PBE
State: relaxed

abc: 4.960 4.960 4.960
angles: 60.00 60.00 60.00
Atoms (fractional coordinates):
Ho  0.000  0.000  0.000
Mg  0.250  0.250  0.250
Nb  0.750  0.750  0.750

Computed properties:
excess energy over the best structure of this formula in the dataset = 287 meV per atom

=====

Material: NdHoMg6
Method: DFT, PBE
State: relaxed

abc: 5.198 7.390 5.199
angles: 90.00 90.00 90.00
Atoms (fractional coordinates):
Ho  0.000  0.000  0.746
Mg  0.000  0.245  0.246
Mg  0.000  0.755  0.246
Mg  0.500  0.000  0.253
Mg  0.000  0.500  0.747
Mg  0.500  0.245  0.754
Mg  0.500  0.755  0.754
Nd  0.500  0.500  0.254

=====

Material: NdHoMg6
Method: DFT, PBE
State: relaxed

abc: 5.192 5.192 7.397
angles: 90.00 90.00 90.00
Atoms (fractional coordinates):
Ho  0.000  0.000  0.500
Mg  0.000  0.000  0.000
Mg  0.500  0.000  0.256
Mg  0.000  0.500  0.256
Mg  0.500  0.500  0.500
Mg  0.500  0.000  0.744
Mg  0.000  0.500  0.744
Nd  0.500  0.500  0.000

=====

Material: NdHo2Mg4Tl2
Method: DFT, PBE
State: relaxed

abc: 4.683 7.649 7.649
angles: 120.90 90.00 90.00
Atoms (fractional coordinates):
Ho  0.000  0.568  0.003
Ho  0.000  0.003  0.568
Mg  0.500  0.242  0.000
Mg  0.500  0.000  0.242
Mg  0.500  0.756  0.756
Mg  0.000  0.993  0.993
Nd  0.000  0.433  0.433
Tl  0.500  0.673  0.333
Tl  0.500  0.333  0.673

=====

Material: Nd2HoMg4Tl2
Method: DFT, PBE
State: relaxed

abc: 4.729 7.637 7.637
angles: 119.08 90.00 90.00
Atoms (fractional coordinates):
Ho  0.000  0.431  0.431
Mg  0.000  0.007  0.007
Mg  0.500  0.000  0.243
Mg  0.500  0.759  0.759
Mg  0.500  0.243  0.000
Nd  0.000  0.997  0.568
Nd  0.000  0.568  0.997
Tl  0.500  0.660  0.334
Tl  0.500  0.334  0.660

=====

Material: Nd2HoMg3Tl2Zn
Method: DFT, PBE
State: relaxed

abc: 4.656 7.546 7.546
angles: 119.06 90.00 90.00
Atoms (fractional coordinates):
Ho  0.000  0.408  0.408
Mg  0.500  0.236  0.000
Mg  0.500  0.000  0.236
Mg  0.500  0.767  0.767
Nd  0.000  0.998  0.587
Nd  0.000  0.587  0.998
Tl  0.500  0.660  0.335
Tl  0.500  0.335  0.660
Zn  0.000  0.008  0.008

=====

Material: Ho2Mg3Ni2
Method: DFT, PBE
State: relaxed

abc: 10.632 10.632 3.614
angles: 90.00 90.00 158.65
Atoms (fractional coordinates):
Ho  0.677  0.323  0.000
Ho  0.323  0.677  0.000
Mg  0.500  0.500  0.000
Mg  0.920  0.080  0.500
Mg  0.080  0.920  0.500
Ni  0.787  0.213  0.500
Ni  0.213  0.787  0.500

=====

Material: Ho4Mg3Ni2
Method: DFT, PBE
State: relaxed

abc: 7.405 3.625 8.242
angles: 90.00 108.04 90.00
Atoms (fractional coordinates):
Ho  0.893  0.500  0.173
Ho  0.413  0.500  0.279
Ho  0.587  0.500  0.721
Ho  0.107  0.500  0.827
Mg  0.500  0.000  0.000
Mg  0.206  0.000  0.499
Mg  0.794  0.000  0.501
Ni  0.158  0.000  0.111
Ni  0.842  0.000  0.889

=====

Number 1: electronic total energy -59.050 eV for the cell shown, calculated volume 318 Å³/cell. Number 2: electronic total energy -118.244 eV for the cell shown, calculated volume 624 Å³/cell. Number 3: electronic total energy -58.545 eV for the cell shown, calculated volume 284 Å³/cell. Number 4: electronic total energy -13.368 eV for the cell shown, calculated volume 78 Å³/cell. Number 5: electronic total energy -12.508 eV for the cell shown, calculated volume 86 Å³/cell. Number 6: electronic total energy -19.346 eV for the cell shown, calculated volume 200 Å³/cell. Number 7: electronic total energy -19.347 eV for the cell shown, calculated volume 199 Å³/cell. Number 8: electronic total energy -27.016 eV for the cell shown, calculated volume 235 Å³/cell. Number 9: electronic total energy -27.330 eV for the cell shown, calculated volume 241 Å³/cell. Number 10: electronic total energy -27.723 eV for the cell shown, calculated volume 232 Å³/cell. Number 11: electronic total energy -27.006 eV for the cell shown, calculated volume 149 Å³/cell. Number 12: electronic total energy -36.525 eV for the cell shown, calculated volume 210 Å³/cell.